DFT (PBE) results for a relaxed Cs2Ga2SnCl6 crystal.

The structure belongs to space group C2/m (No. 12); the cell edges are 12.207, 7.795 and 8.766 Å and the angles 90.00°, 110.97° and 90.00°. The inequivalent atoms are Cs at (0.207, 0.000, 0.152), Ga at (0.086, 0.500, 0.172), Sn at (0.000, 0.000, 0.500), Cl at (0.036, 0.244, 0.768) and Cl at (0.241, 0.000, 0.552).

As for the uncorrected formation energy: -1.24 eV/atom.

---

DFT (PBE) results for a relaxed CuTc2 crystal.

The structure belongs to space group Cmcm (No. 63); the cell edges are 2.721, 14.122 and 4.319 Å and the angles 90.00°, 90.00° and 90.00°. The inequivalent atoms are Cu at (0.000, 0.050, 0.250), Tc at (0.000, 0.284, 0.750) and Tc at (0.000, 0.385, 0.250).

Its excess energy over the best structure of this formula in the dataset is 0.0556 eV per atom. For the formation energy from the elements, the calculation gives 144.4 meV/atom.